No. 1
Below is a relaxed structure of DyEr3In3, with properties calculated at the PBE level.

abc: 9.2657 9.2657 5.1443
angles: 90.00 90.00 120.00
Space group P6_3/m (No. 176)
Unique sites:
1 Dy 0.3333 0.6667 0.2500 x2
2 Er 0.0038 0.2324 0.2500 x6
3 In 0.0724 0.4545 0.7500 x6

ΔE_f (eV per atom): -0.33
ρ (g/cm³): 8.8
DOS(E_F) (states/eV/atom): 0.80


No. 2
Below is a relaxed structure of Dy4ErIn3, with properties calculated at the PBE level.

abc: 5.3496 5.3496 27.0432
angles: 90.00 90.00 120.00
Space group R-3m (No. 166, hexagonal axes)
Unique sites:
1 Dy 0.0000 0.0000 0.1150 x6
2 Dy 0.0000 0.0000 0.3705 x6
3 Er 0.0000 0.0000 0.5000 x3
4 In 0.0000 0.0000 0.0000 x3
5 In 0.0000 0.0000 0.2375 x6

ΔE_f (eV per atom): -0.32
ρ (g/cm³): 8.6
DOS(E_F) (states/eV/atom): 1.30


No. 3
Below is a relaxed structure of Dy3Er3In2, with properties calculated at the PBE level.

abc: 4.821 4.822 9.646
angles: 90.00 90.00 90.00
Space group Pmmm (No. 47)
Unique sites:
1 Dy 0.000 0.000 0.000 x1
2 Dy 0.000 0.000 0.500 x1
3 Dy 0.500 0.500 0.000 x1
4 Er 0.000 0.500 0.251 x2
5 Er 0.500 0.500 0.500 x1
6 In 0.500 0.000 0.251 x2

ΔE_f (eV per atom): -0.26
ρ (g/cm³): 9.0
DOS(E_F) (states/eV/atom): 1.42


The highest DOS(E_F) belongs to which entry? Dy3Er3In2


Which of these has the highest ρ? Dy3Er3In2


DOS(E_F) of number 3 (Dy3Er3In2)? 1.42 states/eV/atom


Number 2 is which compound? Dy4ErIn3